MoPb2Br after structural relaxation, computed with PBE-GGA.

Summary:
Space-group type: Immm
Theoretical density, g/cm³: 9.14
Total energy, eV per atom: -4.47
V, Å³/cell: 107.2
E_form (uncorrected), eV per atom: 0.508

Unit cell a=7.4496 b=7.4496 c=4.7728 alpha=71.32 beta=71.32 gamma=25.38
Last column: nearest neighbours and their distance in Å.
Fractional positions:
Pb: 0.0625 0.0625 0.9375  2 Mo 3.05, 6 Pb 3.27-3.36
Pb: 0.4375 0.4375 0.5625  2 Mo 3.05, 6 Pb 3.27-3.36
Mo: 0.7500 0.7500 0.7500  4 Br 2.89, 4 Pb 3.05
Br: 0.2500 0.2500 0.2500  4 Mo 2.89